The following is a PBE+U calculation of a relaxed structure of BaBeNiF6, from Alexandria via LeMat-Bulk.

Properties
The space group is P312 (149). The calculated volume is 126 Å³ per cell. The electronic total energy comes out at -0.1900 Ha/atom. The calculation puts the calculated density at 4.2 g/cm3.

Unit cell a=5.1266 b=5.1266 c=5.5497 alpha=90.00 beta=90.00 gamma=60.00
With the nearest neighbours (Å) after each atom.
Positions (direct):
F: 0.0326 0.3660 0.3120  1 Be 1.80
F: 0.3659 0.6014 0.3120  1 Be 1.80
Be: 0.3333 0.3333 0.5000  6 F 1.80
F: 0.6014 0.0327 0.3120  1 Be 1.80
F: 0.3659 0.0327 0.6880  1 Be 1.80
Ni: 0.6666 0.6667 0.5000  6 F 2.02
F: 0.6013 0.3660 0.6880  1 Be 1.80
F: 0.0326 0.6014 0.6880  1 Be 1.80
Ba: 0.0000 0.0000 0.0000  6 F 2.62